Record 1
VASP calculation (GGA-PBEsol) on a geometry-optimized NiMo2Rh structure.

Cell and atoms, written as POSCAR:
```
NiMo2Rh
1.0
-0.464 -2.093 1.590
2.179 -2.204 -2.266
4.243 1.240 2.875
Rh Ni Mo
1 1 2
Direct
0.500 0.500 0.500
0.500 0.500 0.000
0.000 0.000 0.756
0.000 0.000 0.244
```

Output
Its space group is No. 47. The calculation puts the size of the total moment at 0.00 μB/f.u. For the formation energy, the calculation gives -0.099 eV/atom. For the density of states at the Fermi level, the calculation gives 0.865 states/eV/atom. Its energy above the most stable polymorph in this dataset is 17 meV per atom. The calculation puts the volume at 13.5 Å³ per atom. The total energy comes out at -9.557 eV/atom.

Record 2
VASP calculation (GGA-PBEsol) on a geometry-optimized In3AgS structure.

Cell and atoms, written as POSCAR:
```
In3AgS
1.0
-3.677 -3.389 1.169
2.306 -3.518 -2.945
2.744 -1.584 4.041
In Ag S
3 1 1
Direct
0.500 0.000 0.000
0.000 0.000 0.500
0.000 0.500 0.000
0.000 0.000 0.000
0.500 0.500 0.500
```

Output
Its space group is No. 221. Its formation energy from raw total energies is 218 meV per atom. The calculation puts the size of the total moment at 0.00 μB/f.u. For the density of states at the Fermi level, the calculation gives 0.336 states/eV/atom. The calculation puts the volume at 27.1 Å³ per atom. The total energy comes out at -3.111 eV/atom.

Record 3
VASP calculation (GGA-PBEsol) on a geometry-optimized Cr6C3N structure.

Cell and atoms, written as POSCAR:
```
Cr6C3N
1.0
2.767 0.000 0.000
-1.383 4.556 -0.037
0.000 -0.136 6.833
Cr N C
6 1 3
Direct
0.858 0.717 0.563
0.142 0.283 0.437
0.148 0.295 0.078
0.598 0.196 0.757
0.402 0.804 0.243
0.852 0.705 0.922
0.500 0.000 0.000
0.752 0.504 0.260
0.248 0.496 0.740
0.500 0.000 0.500
```

Output
Its space group is No. 12. Its formation energy from raw total energies is -293 meV per atom. The calculation puts the size of the total moment at 0.00 μB/f.u. For the density of states at the Fermi level, the calculation gives 0.720 states/eV/atom. Its energy above the most stable polymorph in this dataset is 0 meV per atom. The calculation puts the volume at 8.6 Å³ per atom. The total energy comes out at -10.184 eV/atom.

Record 4
VASP calculation (GGA-PBEsol) on a geometry-optimized ZrSi2Tc structure.

Cell and atoms, written as POSCAR:
```
ZrSi2Tc
1.0
-2.057 -2.258 -0.566
0.905 0.362 -4.727
3.596 -1.893 3.007
Zr Si Tc
1 2 1
Direct
0.500 0.000 0.000
0.270 0.270 0.539
0.730 0.730 0.461
0.000 0.500 0.000
```

Output
Its space group is No. 71. Its formation energy from raw total energies is -335 meV per atom. The calculation puts the size of the total moment at 0.00 μB/f.u. For the density of states at the Fermi level, the calculation gives 0.625 states/eV/atom. Its energy above the most stable polymorph in this dataset is 250 meV per atom. The calculation puts the volume at 15.6 Å³ per atom. The total energy comes out at -8.297 eV/atom.